1.
DFT (PBE) results for a relaxed CaSm4Dy crystal.

a b c (Å): 3.6182 5.1675 11.0155
angles (deg): 90.00 90.02 90.00
With the nearest neighbours (Å) after each atom.
Fractional positions:
Ca 0.5000 0.0000 0.5000  2 Ca 3.62, 10 Sm 3.73-3.74
Sm 0.5003 0.0000 0.8399  7 Sm 3.53-3.62, 4 Dy 3.61, 1 Ca 3.74
Sm 0.4997 0.0000 0.1601  7 Sm 3.53-3.62, 4 Dy 3.61, 1 Ca 3.74
Sm 0.0007 0.5000 0.6812  1 Dy 3.51, 6 Sm 3.61-3.62, 4 Ca 3.73
Sm 0.9993 0.5000 0.3188  1 Dy 3.51, 6 Sm 3.61-3.62, 4 Ca 3.73
Dy 0.0000 0.5000 0.0000  10 Sm 3.51-3.61, 2 Dy 3.62

**Total magnetic moment**: 0.00 μB per atom
**VASP energy**: -4.19 eV/atom
**Polymorph energy (0 for the lowest one)**: 0.0 kJ/mol of formula units


2.
DFT (PBE) results for a relaxed Ca2SmDy crystal.

a b c (Å): 3.7132 3.7132 12.4468
angles (deg): 81.42 81.42 60.00
With the nearest neighbours (Å) after each atom.
Fractional positions:
Ca 0.8386 0.8386 0.4843  9 Ca 3.71-3.93, 3 Sm 3.81
Ca 0.4158 0.4158 0.7526  9 Ca 3.71-3.93, 3 Dy 3.75
Sm 0.2577 0.2577 0.2270  3 Dy 3.48, 6 Sm 3.71, 3 Ca 3.81
Dy 0.9989 0.9989 0.0032  3 Sm 3.48, 6 Dy 3.71, 3 Ca 3.75

**Total magnetic moment**: 0.00 μB per atom
**VASP energy**: -3.28 eV/atom
**Polymorph energy (0 for the lowest one)**: 0.0 kJ/mol of formula units


3.
DFT (PBE) results for a relaxed CaSm7Dy12 crystal.

a b c (Å): 9.8201 9.8201 9.8201
angles (deg): 109.47 109.47 109.47
With the nearest neighbours (Å) after each atom.
Fractional positions:
Ca 0.0000 0.0000 0.0000  12 Dy 4.08
Sm 0.5000 0.5000 0.0000  12 Dy 3.94-4.02
Sm 0.0000 0.5000 0.5000  12 Dy 3.94-4.02
Sm 0.5000 0.0000 0.5000  12 Dy 3.94-4.02
Sm 0.5000 0.5000 0.5000  6 Dy 2.84
Sm 0.0000 0.0000 0.5000  6 Dy 2.84
Sm 0.5000 0.0000 0.0000  6 Dy 2.84
Sm 0.0000 0.5000 0.0000  6 Dy 2.84
Dy 0.4910 0.7458 0.7451  2 Sm 2.84
Dy 0.0007 0.7458 0.2549  2 Sm 2.84
Dy 0.5090 0.2542 0.2549  2 Sm 2.84
Dy 0.9993 0.2542 0.7451  2 Sm 2.84
Dy 0.7451 0.9993 0.2542  2 Sm 2.84
Dy 0.7451 0.4910 0.7458  2 Sm 2.84
Dy 0.2549 0.0007 0.7458  2 Sm 2.84
Dy 0.2549 0.5090 0.2542  2 Sm 2.84
Dy 0.7458 0.7451 0.4910  2 Sm 2.84
Dy 0.2542 0.2549 0.5090  2 Sm 2.84
Dy 0.7458 0.2549 0.0007  2 Sm 2.84
Dy 0.2542 0.7451 0.9993  2 Sm 2.84

**Total magnetic moment**: 0.00 μB per atom
**VASP energy**: -3.88 eV/atom


4.
DFT (PBE) results for a relaxed CaSm2Dy3 crystal.

a b c (Å): 6.7141 6.7142 10.7988
angles (deg): 90.00 90.00 120.00
With the nearest neighbours (Å) after each atom.
Fractional positions:
Ca 0.3333 0.6667 0.9362  4 Sm 3.93-3.94, 9 Dy 3.97-3.98, 3 Ca 4.11
Ca 0.6667 0.3333 0.0638  4 Sm 3.93-3.94, 9 Dy 3.97-3.98, 3 Ca 4.11
Sm 0.0000 0.0000 0.0000  6 Dy 3.42
Sm 0.6667 0.3333 0.4279  9 Dy 3.82-3.88, 1 Ca 3.93, 6 Sm 3.95-4.18
Sm 0.0000 0.0000 0.5000  6 Dy 3.26
Sm 0.3333 0.6667 0.5721  9 Dy 3.82-3.88, 1 Ca 3.93, 6 Sm 3.95-4.18
Dy 0.1694 0.3388 0.2594  2 Sm 3.26-3.42, 4 Dy 3.30-3.41
Dy 0.6612 0.8306 0.2594  2 Sm 3.26-3.42, 4 Dy 3.30-3.41
Dy 0.1694 0.8306 0.2594  2 Sm 3.26-3.42, 4 Dy 3.30-3.41
Dy 0.8306 0.6612 0.7406  2 Sm 3.26-3.42, 4 Dy 3.30-3.41
Dy 0.8306 0.1694 0.7406  2 Sm 3.26-3.42, 4 Dy 3.30-3.41
Dy 0.3388 0.1694 0.7406  2 Sm 3.26-3.42, 4 Dy 3.30-3.41

**Total magnetic moment**: 0.00 μB per atom
**VASP energy**: -3.99 eV/atom


5.
DFT (PBE) results for a relaxed CaSm6Dy4 crystal.

a b c (Å): 5.2589 9.3749 9.3749
angles (deg): 120.00 90.00 90.00
With the nearest neighbours (Å) after each atom.
Fractional positions:
Ca 0.0000 0.0000 0.0000  12 Sm 4.25-4.72, 6 Dy 4.27
Sm 0.0000 0.5337 0.0674  5 Dy 3.25-3.37
Sm 0.5000 0.5894 0.7947  4 Dy 3.35, 2 Sm 3.60
Sm 0.0000 0.5337 0.4663  5 Dy 3.25-3.37
Sm 0.0000 0.9326 0.4663  5 Dy 3.25-3.37
Sm 0.5000 0.2053 0.7947  4 Dy 3.35, 2 Sm 3.60
Sm 0.5000 0.2053 0.4106  4 Dy 3.35, 2 Sm 3.60
Dy 0.5000 0.7928 0.5856  6 Sm 3.35-3.37, 2 Dy 3.55
Dy 0.5000 0.4144 0.2072  6 Sm 3.35-3.37, 2 Dy 3.55
Dy 0.5000 0.7928 0.2072  6 Sm 3.35-3.37, 2 Dy 3.55
Dy 0.0000 0.3333 0.6667  9 Sm 3.25-3.35

**Total magnetic moment**: 0.00 μB per atom
**VASP energy**: -4.09 eV/atom


6.
DFT (PBE) results for a relaxed CaSm5Dy4 crystal.

a b c (Å): 3.6095 3.6095 25.6742
angles (deg): 90.00 90.00 90.00
With the nearest neighbours (Å) after each atom.
Fractional positions:
Ca 0.0000 0.0000 0.0000  4 Ca 3.61, 8 Sm 3.80
Sm 0.5000 0.5000 0.1097  4 Dy 3.53, 4 Sm 3.61, 4 Ca 3.80
Sm 0.5000 0.5000 0.3043  8 Dy 3.57-3.61, 4 Sm 3.61
Sm 0.5000 0.5000 0.5000  8 Dy 3.59, 4 Sm 3.61
Sm 0.5000 0.5000 0.6957  8 Dy 3.57-3.61, 4 Sm 3.61
Sm 0.5000 0.5000 0.8903  4 Dy 3.53, 4 Sm 3.61, 4 Ca 3.80
Dy 0.0000 0.0000 0.2048  8 Sm 3.53-3.61, 4 Dy 3.61
Dy 0.0000 0.0000 0.4018  8 Sm 3.57-3.59, 4 Dy 3.61
Dy 0.0000 0.0000 0.5982  8 Sm 3.57-3.59, 4 Dy 3.61
Dy 0.0000 0.0000 0.7952  8 Sm 3.53-3.61, 4 Dy 3.61

**Total magnetic moment**: 0.00 μB per atom
**VASP energy**: -4.37 eV/atom


7.
DFT (PBE) results for a relaxed CaSm6Dy5 crystal.

a b c (Å): 6.2505 8.0597 8.0597
angles (deg): 84.64 97.49 97.49
With the nearest neighbours (Å) after each atom.
Fractional positions:
Ca 0.0000 0.0000 0.0000  6 Dy 3.64-3.68, 6 Sm 3.66
Sm 0.7476 0.9165 0.5757  5 Dy 3.51-3.65, 6 Sm 3.56-3.70, 1 Ca 3.66
Sm 0.2524 0.4243 0.0835  5 Dy 3.51-3.65, 6 Sm 3.56-3.70, 1 Ca 3.66
Sm 0.2593 0.7478 0.7478  5 Dy 3.54-3.63, 6 Sm 3.57-3.69, 1 Ca 3.66
Sm 0.7407 0.2522 0.2522  5 Dy 3.54-3.63, 6 Sm 3.57-3.69, 1 Ca 3.66
Sm 0.7476 0.5757 0.9165  5 Dy 3.51-3.65, 6 Sm 3.56-3.70, 1 Ca 3.66
Sm 0.2524 0.0835 0.4243  5 Dy 3.51-3.65, 6 Sm 3.56-3.70, 1 Ca 3.66
Dy 0.5000 0.8287 0.1713  6 Sm 3.51-3.63, 4 Dy 3.57-3.72, 2 Ca 3.64
Dy 0.0000 0.6613 0.3387  5 Dy 3.50-3.61, 6 Sm 3.57-3.65, 1 Ca 3.68
Dy 0.5000 0.5000 0.5000  6 Sm 3.54-3.58, 6 Dy 3.57-3.58
Dy 0.0000 0.3387 0.6613  5 Dy 3.50-3.61, 6 Sm 3.57-3.65, 1 Ca 3.68
Dy 0.5000 0.1713 0.8287  6 Sm 3.51-3.63, 4 Dy 3.57-3.72, 2 Ca 3.64

**Total magnetic moment**: 0.00 μB per atom
**VASP energy**: -4.41 eV/atom


8.
DFT (PBE) results for a relaxed SrCaSmDy crystal.

a b c (Å): 5.9982 5.9982 5.9982
angles (deg): 60.00 60.00 60.00
With the nearest neighbours (Å) after each atom.
Fractional positions:
Sr 0.0000 0.0000 0.0000  4 Dy 3.67, 4 Ca 3.67
Ca 0.2500 0.2500 0.2500  4 Sr 3.67, 4 Sm 3.67
Sm 0.5000 0.5000 0.5000  4 Ca 3.67, 4 Dy 3.67
Dy 0.7500 0.7500 0.7500  4 Sm 3.67, 4 Sr 3.67

**Total magnetic moment**: 0.00 μB per atom
**VASP energy**: -3.06 eV/atom


9.
DFT (PBE) results for a relaxed CaTb4Sm2Dy crystal.

a b c (Å): 9.5946 9.5946 11.9877
angles (deg): 128.56 128.56 88.18
With the nearest neighbours (Å) after each atom.
Fractional positions:
Ca 0.5000 0.5000 0.5000  6 Tb 3.38-3.65, 2 Ca 3.42
Ca 0.0000 0.0000 0.0000  6 Tb 3.38-3.65, 2 Ca 3.42
Tb 0.2526 0.7469 0.0120  3 Sm 3.30-3.58, 2 Dy 3.32-3.58, 1 Ca 3.38, 2 Tb 3.43-3.44
Tb 0.7531 0.2474 0.4880  3 Sm 3.30-3.57, 2 Dy 3.32-3.58, 1 Ca 3.38, 2 Tb 3.43-3.44
Tb 0.2469 0.7526 0.5120  3 Sm 3.30-3.58, 2 Dy 3.32-3.58, 1 Ca 3.38, 2 Tb 3.43-3.44
Tb 0.7474 0.2531 0.9880  3 Sm 3.30-3.58, 2 Dy 3.32-3.58, 1 Ca 3.38, 2 Tb 3.43-3.44
Tb 0.7618 0.7589 0.0251  3 Sm 3.27-3.36, 1 Dy 3.32, 2 Tb 3.42, 2 Ca 3.57-3.65
Tb 0.7411 0.7382 0.4749  3 Sm 3.27-3.36, 1 Dy 3.32, 2 Tb 3.42, 2 Ca 3.57-3.65
Tb 0.2589 0.2618 0.5251  3 Sm 3.27-3.36, 1 Dy 3.32, 2 Tb 3.42, 2 Ca 3.57-3.65
Tb 0.2382 0.2411 0.9749  3 Sm 3.27-3.36, 1 Dy 3.32, 2 Tb 3.42, 2 Ca 3.57-3.65
Sm 0.5000 0.0000 0.0000  6 Tb 3.33-3.58, 2 Dy 3.42
Sm 0.5000 0.0000 0.5000  6 Tb 3.33-3.58, 2 Dy 3.42
Sm 0.0000 0.0000 0.5000  6 Tb 3.27-3.33, 2 Sm 3.42
Sm 0.5000 0.5000 0.0000  6 Tb 3.27-3.33, 2 Sm 3.42
Dy 0.0000 0.5000 0.0000  6 Tb 3.32-3.58, 2 Sm 3.42
Dy 0.0000 0.5000 0.5000  6 Tb 3.32-3.58, 2 Sm 3.42

**Total magnetic moment**: 0.00 μB per atom
**VASP energy**: -3.89 eV/atom


10.
DFT (PBE) results for a relaxed CaTb3Sm6Dy2 crystal.

a b c (Å): 6.2685 6.2685 11.9039
angles (deg): 95.00 95.00 119.99
With the nearest neighbours (Å) after each atom.
Fractional positions:
Ca 0.0000 0.0000 0.0000  6 Dy 3.62, 6 Sm 3.65
Tb 0.1662 0.8338 0.5000  6 Sm 3.55-3.59, 6 Tb 3.61-3.62
Tb 0.8338 0.1662 0.5000  6 Sm 3.55-3.59, 6 Tb 3.61-3.62
Tb 0.5000 0.5000 0.5000  6 Sm 3.54-3.59, 6 Tb 3.62
Sm 0.9156 0.5754 0.7476  3 Tb 3.55-3.59, 6 Sm 3.58-3.69, 2 Dy 3.61, 1 Ca 3.65
Sm 0.7444 0.7444 0.2531  3 Tb 3.54-3.58, 6 Sm 3.58-3.69, 2 Dy 3.62, 1 Ca 3.65
Sm 0.0844 0.4246 0.2524  3 Tb 3.55-3.59, 6 Sm 3.58-3.69, 2 Dy 3.61, 1 Ca 3.65
Sm 0.5754 0.9156 0.7476  3 Tb 3.55-3.59, 6 Sm 3.58-3.69, 2 Dy 3.61, 1 Ca 3.65
Sm 0.2556 0.2556 0.7469  3 Tb 3.54-3.58, 6 Sm 3.58-3.69, 2 Dy 3.62, 1 Ca 3.65
Sm 0.4246 0.0844 0.2524  3 Tb 3.55-3.59, 6 Sm 3.58-3.69, 2 Dy 3.61, 1 Ca 3.65
Dy 0.3333 0.6667 0.0000  6 Sm 3.61-3.62, 3 Ca 3.62, 3 Dy 3.62
Dy 0.6667 0.3333 0.0000  6 Sm 3.61-3.62, 3 Ca 3.62, 3 Dy 3.62

**Total magnetic moment**: 0.00 μB per atom
**VASP energy**: -4.41 eV/atom


11.
DFT (PBE) results for a relaxed CaTbSm6Dy2 crystal.

a b c (Å): 9.8431 8.9485 8.9485
angles (deg): 118.61 94.44 94.44
With the nearest neighbours (Å) after each atom.
Fractional positions:
Ca 0.2500 0.4016 0.5984  8 Sm 3.56-3.97, 2 Dy 3.64
Ca 0.7500 0.5984 0.4016  8 Sm 3.56-3.97, 2 Dy 3.64
Tb 0.2500 0.9753 0.0247  4 Dy 3.41-3.48, 4 Sm 3.66-3.67
Tb 0.7500 0.0247 0.9753  4 Dy 3.41-3.48, 4 Sm 3.66-3.67
Sm 0.0512 0.1154 0.7611  5 Sm 3.40-3.80, 1 Dy 3.45, 1 Tb 3.67
Sm 0.4488 0.2389 0.8846  5 Sm 3.40-3.80, 1 Dy 3.45, 1 Tb 3.67
Sm 0.9488 0.8846 0.2389  5 Sm 3.40-3.80, 1 Dy 3.45, 1 Tb 3.67
Sm 0.5512 0.7611 0.1154  5 Sm 3.40-3.80, 1 Dy 3.45, 1 Tb 3.67
Sm 0.3235 0.9708 0.4295  3 Sm 3.24-3.61, 1 Dy 3.48, 1 Ca 3.56
Sm 0.1765 0.5705 0.0292  3 Sm 3.24-3.61, 1 Dy 3.48, 1 Ca 3.56
Sm 0.6765 0.0292 0.5705  3 Sm 3.24-3.61, 1 Dy 3.48, 1 Ca 3.56
Sm 0.8235 0.4295 0.9708  3 Sm 3.24-3.61, 1 Dy 3.48, 1 Ca 3.56
Sm 0.1237 0.7121 0.4998  3 Sm 3.24-3.40, 3 Dy 3.31-3.46, 1 Ca 3.57
Sm 0.3763 0.5002 0.2879  3 Sm 3.24-3.40, 3 Dy 3.31-3.46, 1 Ca 3.57
Sm 0.8763 0.2879 0.5002  3 Sm 3.24-3.40, 3 Dy 3.31-3.46, 1 Ca 3.57
Sm 0.6237 0.4998 0.7121  3 Sm 3.24-3.40, 3 Dy 3.31-3.46, 1 Ca 3.57
Dy 0.4573 0.8019 0.7001  6 Sm 3.31-3.63, 2 Tb 3.41-3.48, 1 Ca 3.64
Dy 0.0427 0.2999 0.1981  6 Sm 3.31-3.63, 2 Tb 3.41-3.48, 1 Ca 3.64
Dy 0.5427 0.1981 0.2999  6 Sm 3.31-3.63, 2 Tb 3.41-3.48, 1 Ca 3.64
Dy 0.9573 0.7001 0.8019  6 Sm 3.31-3.63, 2 Tb 3.41-3.48, 1 Ca 3.64

**Total magnetic moment**: 0.00 μB per atom
**VASP energy**: -4.28 eV/atom


12.
DFT (PBE) results for a relaxed CaTb6Sm3Dy2 crystal.

a b c (Å): 6.2324 6.2324 11.8981
angles (deg): 94.99 94.99 120.02
With the nearest neighbours (Å) after each atom.
Fractional positions:
Ca 0.0000 0.0000 0.0000  6 Dy 3.60, 6 Tb 3.62
Tb 0.9163 0.5767 0.7492  6 Tb 3.56-3.67, 3 Sm 3.57-3.60, 2 Dy 3.59, 1 Ca 3.62
Tb 0.7445 0.7445 0.2510  3 Sm 3.56-3.59, 6 Tb 3.57-3.66, 2 Dy 3.59, 1 Ca 3.62
Tb 0.0837 0.4233 0.2508  6 Tb 3.56-3.67, 3 Sm 3.57-3.60, 2 Dy 3.59, 1 Ca 3.62
Tb 0.5767 0.9163 0.7492  6 Tb 3.56-3.67, 3 Sm 3.57-3.60, 2 Dy 3.59, 1 Ca 3.62
Tb 0.2555 0.2555 0.7490  3 Sm 3.56-3.59, 6 Tb 3.57-3.66, 2 Dy 3.59, 1 Ca 3.62
Tb 0.4233 0.0837 0.2508  6 Tb 3.56-3.67, 3 Sm 3.57-3.60, 2 Dy 3.59, 1 Ca 3.62
Sm 0.1657 0.8343 0.5000  6 Tb 3.57-3.59, 6 Sm 3.58-3.61
Sm 0.8343 0.1657 0.5000  6 Tb 3.57-3.59, 6 Sm 3.58-3.61
Sm 0.5000 0.5000 0.5000  6 Tb 3.56-3.60, 6 Sm 3.59-3.61
Dy 0.3334 0.6666 0.0000  6 Tb 3.59, 3 Dy 3.60, 3 Ca 3.60
Dy 0.6666 0.3334 0.0000  6 Tb 3.59, 3 Dy 3.60, 3 Ca 3.60

**Total magnetic moment**: 0.00 μB per atom
**VASP energy**: -4.38 eV/atom


> Look up the total magnetic moment of the twelfth one.

0.00 μB per atom


> Which value of VASP energy does entry 5 give?

-4.09 eV/atom